Entry 1:
Crystalline LiDyCdO3 at its relaxed geometry. Source: OQMD, functional GGA-PBE.

Summary:
VASP energy   -5.9073 eV/atom

Cell lengths 14.228, 3.296, 6.575 Å; angles 90.00, 102.35, 90.00 degrees
Space group Cm (No. 8)
Unique sites:
Li 0.000 0.000 0.000
Li 0.136 0.500 0.259
Dy 0.319 0.000 0.131
Dy 0.319 0.000 0.631
Cd 0.002 0.000 0.451
Cd 0.136 0.500 0.809
O 0.156 0.000 0.066
O 0.161 0.000 0.567
O 0.314 0.500 0.376
O 0.323 0.500 0.886
O 0.476 0.000 0.693
O 0.482 0.000 0.195

***

Entry 2:
Crystalline Mg5Ir at its relaxed geometry. Source: OQMD, functional GGA-PBE.

Summary:
VASP energy   -2.9095 eV/atom

Cell lengths 5.2259, 5.2259, 4.7272 Å; angles 90.00, 90.00, 120.00 degrees
Space group P-62m (No. 189)
Unique sites:
Mg 0.0000 0.3096 0.0000
Mg 0.3333 0.6667 0.5000
Ir 0.0000 0.0000 0.5000

***

Entry 3:
Crystalline LiSc2In2AgAu2 at its relaxed geometry. Source: OQMD, functional GGA-PBE.

Summary:
VASP energy   -4.2087 eV/atom

Cell lengths 4.758, 4.758, 6.735 Å; angles 90.00, 90.00, 90.00 degrees
Space group P-4m2 (No. 115)
Unique sites:
Li 0.000 0.000 0.000
Sc 0.000 0.500 0.749
In 0.000 0.500 0.246
Ag 0.500 0.500 0.500
Au 0.000 0.000 0.500
Au 0.500 0.500 0.000

***

Entry 4:
Crystalline Tb6Si2Pd at its relaxed geometry. Source: OQMD, functional GGA-PBE.

Summary:
VASP energy   -5.3994 eV/atom

Cell lengths 7.8667, 7.8667, 4.2389 Å; angles 90.00, 90.00, 120.00 degrees
Space group P-62m (No. 189)
Unique sites:
Tb 0.0000 0.2596 0.0000
Tb 0.0000 0.5878 0.5000
Si 0.3333 0.6667 0.0000
Pd 0.0000 0.0000 0.5000

***

Entry 5:
Crystalline Dy3Ho2Lu3 at its relaxed geometry. Source: OQMD, functional GGA-PBE.

Summary:
DFT formation energy   0.12 kcal/mol of atoms

Cell lengths 7.1374, 7.1374, 5.5332 Å; angles 90.00, 90.00, 120.00 degrees
Space group P-6m2 (No. 187)
Unique sites:
Dy 0.0000 0.5000 0.0000
Ho 0.0000 0.0000 0.0000
Ho 0.3333 0.6667 0.5000
Lu 0.3345 0.1673 0.5000

***

Entry 6:
Crystalline Ac5CdTe8 at its relaxed geometry. Source: OQMD, functional GGA-PBE.

Summary:
VASP energy   -4.7491 eV/atom

Cell lengths 9.947, 9.947, 10.054 Å; angles 90.00, 90.00, 90.00 degrees
Space group I-4 (No. 82)
Unique sites:
Ac 0.000 0.000 0.000
Ac 0.128 0.750 0.382
Cd 0.000 0.500 0.750
Te 0.071 0.823 0.706
Te 0.080 0.678 0.061

***

Entry 7:
Crystalline NiAsPd at its relaxed geometry. Source: OQMD, functional GGA-PBE.

Summary:
VASP energy   -5.3556 eV/atom

Cell lengths 4.0795, 4.0795, 5.9106 Å; angles 90.00, 90.00, 120.00 degrees
Space group P6_3/mmc (No. 194)
Unique sites:
Ni 0.3333 0.6667 0.2500
As 0.3333 0.6667 0.7500
Pd 0.0000 0.0000 0.0000

***

Entry 8:
Crystalline NdDyZn2Ga2 at its relaxed geometry. Source: OQMD, functional GGA-PBE.

Summary:
VASP energy   -3.5688 eV/atom

Cell lengths 4.4326, 4.4326, 7.4008 Å; angles 90.00, 90.00, 120.00 degrees
Space group P3m1 (No. 156)
Unique sites:
Nd 0.0000 0.0000 0.0000
Dy 0.0000 0.0000 0.4992
Zn 0.3333 0.6667 0.2998
Zn 0.6667 0.3333 0.7564
Ga 0.3333 0.6667 0.7049
Ga 0.6667 0.3333 0.2374

***

Entry 9:
Crystalline NaNb3Pb5 at its relaxed geometry. Source: OQMD, functional GGA-PBE.

Summary:
VASP energy   -5.3902 eV/atom

Cell lengths 5.7614, 5.7614, 9.0716 Å; angles 90.00, 90.00, 120.00 degrees
Space group P6/mmm (No. 191)
Unique sites:
Na 0.0000 0.0000 0.0000
Nb 0.0000 0.5000 0.5000
Pb 0.0000 0.0000 0.5000
Pb 0.3333 0.6667 0.2098

***

Entry 10:
Crystalline Rb2MoS4 at its relaxed geometry. Source: OQMD, functional GGA-PBE.

Summary:
E above lowest polymorph   0 meV per atom

Cell lengths 9.809, 7.094, 12.611 Å; angles 90.00, 90.00, 90.00 degrees
Space group Pnma (No. 62)
Unique sites:
Rb 0.037 0.250 0.167
Rb 0.157 0.750 0.394
Mo 0.247 0.750 0.075
S 0.025 0.750 0.106
S 0.160 0.000 0.647
S 0.210 0.250 0.404

***

Entry 11:
Crystalline Na2ZnPdO4 at its relaxed geometry. Source: OQMD, functional GGA-PBE.

Summary:
VASP energy   -4.5948 eV/atom

Cell lengths 4.419, 4.445, 8.827 Å; angles 90.00, 90.00, 90.00 degrees
Space group Pmn2_1 (No. 31)
Unique sites:
Na 0.000 0.243 0.000
Na 0.000 0.756 0.749
Zn 0.000 0.748 0.249
Pd 0.000 0.257 0.499
O 0.000 0.254 0.275
O 0.000 0.256 0.723
O 0.000 0.743 0.025
O 0.000 0.758 0.473

***

Entry 12:
Crystalline Li2AlZn2GaCu2 at its relaxed geometry. Source: OQMD, functional GGA-PBE.

Summary:
VASP energy   -2.7794 eV/atom

Cell lengths 4.235, 4.235, 5.963 Å; angles 90.00, 90.00, 90.00 degrees
Space group P-4m2 (No. 115)
Unique sites:
Li 0.000 0.500 0.245
Al 0.500 0.500 0.500
Zn 0.000 0.000 0.500
Zn 0.500 0.500 0.000
Ga 0.000 0.000 0.000
Cu 0.000 0.500 0.747